# 1
This record from the Alexandria database describes an optimized crystal structure of LiGeSbRu. The functional is PBE.

a b c (Å): 6.3787 6.3787 6.3787
angles (deg): 90.00 90.00 90.00
Last column: nearest neighbours and their distance in Å.
Space group F-43m (No. 216)
Symmetry-distinct sites (fractional):
1 Li 0.0000 0.0000 0.0000 [4 per cell]  4 Ge 2.76, 4 Sb 2.76
2 Ge 0.2500 0.2500 0.7500 [4 per cell]  4 Li 2.76, 4 Ru 2.76
3 Sb 0.2500 0.2500 0.2500 [4 per cell]  4 Li 2.76, 4 Ru 2.76
4 Ru 0.0000 0.0000 0.5000 [4 per cell]  4 Ge 2.76, 4 Sb 2.76

Magnetization, μB per cell: 0.00
Fermi-level density of states, states/eV/atom: 0.75
Formation energy from raw total energies, meV/atom: -165

***

# 2
This record from the Alexandria database describes an optimized crystal structure of BeTlMo2. The functional is PBE.

a b c (Å): 3.8252 3.8252 8.7803
angles (deg): 90.00 90.00 90.00
Last column: nearest neighbours and their distance in Å.
Space group I4/mmm (No. 139)
Symmetry-distinct sites (fractional):
1 Be 0.0000 0.0000 0.0000 [2 per cell]  4 Tl 2.70, 8 Mo 2.91
2 Tl 0.0000 0.0000 0.5000 [2 per cell]  4 Be 2.70, 8 Mo 2.91
3 Mo 0.0000 0.5000 0.2500 [4 per cell]  4 Mo 2.70, 4 Tl 2.91, 4 Be 2.91

DFT formation energy, eV per atom: 0.63
Relative energy among the computed polymorphs, kJ per mole of atoms: 25.4
Magnetization, μB per cell: 0.00
Fermi-level density of states, states/eV/atom: 0.63